A:
Entry from Alexandria via LeMat-Bulk: a relaxed structure of Tm4IrAu (PBE-GGA).

```
Tm4IrAu
1.0
6.981 0.000 0.000
0.000 6.843 0.000
-0.315 0.000 6.859
Tm Ir Au
8 2 2
Direct
0.154 0.163 0.178
0.154 0.337 0.678
0.325 0.659 0.149
0.325 0.841 0.649
0.675 0.159 0.351
0.675 0.341 0.851
0.846 0.663 0.322
0.846 0.837 0.822
0.000 0.000 0.500
0.000 0.500 0.000
0.500 0.000 0.000
0.500 0.500 0.500
```

Properties
Calculated volume = 27.31 Å³ per atom

=====

B:
Entry from Alexandria via LeMat-Bulk: a relaxed structure of Tm4IrAu (PBE-GGA).

```
Tm4IrAu
1.0
8.236 0.000 0.000
0.000 4.682 0.000
0.000 0.000 15.548
Tm Ir Au
16 4 4
Direct
0.030 0.250 0.080
0.089 0.250 0.774
0.133 0.250 0.336
0.150 0.250 0.566
0.350 0.750 0.066
0.367 0.750 0.836
0.411 0.750 0.274
0.470 0.750 0.580
0.530 0.250 0.420
0.589 0.250 0.726
0.633 0.250 0.164
0.650 0.250 0.934
0.850 0.750 0.434
0.867 0.750 0.664
0.911 0.750 0.226
0.970 0.750 0.920
0.192 0.750 0.682
0.308 0.250 0.182
0.692 0.750 0.818
0.808 0.250 0.318
0.240 0.750 0.439
0.260 0.250 0.939
0.740 0.750 0.061
0.760 0.250 0.561
```

Properties
Calculated volume = 24.98 Å³ per atom

=====

Which of them is most stable? Easy: B.

=====

A:
Entry from Alexandria via LeMat-Bulk: a relaxed structure of YTmIrAu (PBE-GGA).

```
YTmIrAu
1.0
3.498 0.000 0.000
0.000 3.498 0.000
0.000 0.000 7.012
Y Tm Ir Au
1 1 1 1
Direct
0.000 0.000 0.000
0.000 0.000 0.533
0.500 0.500 0.760
0.500 0.500 0.275
```

Properties
Calculated volume = 21.45 Å³ per atom

=====

B:
Entry from Alexandria via LeMat-Bulk: a relaxed structure of YTmIrAu (PBE-GGA).

```
YTmIrAu
1.0
6.987 0.000 0.000
0.000 6.987 0.000
0.000 0.000 6.987
Y Tm Ir Au
4 4 4 4
Direct
0.000 0.000 0.000
0.000 0.500 0.500
0.500 0.000 0.500
0.500 0.500 0.000
0.000 0.000 0.500
0.000 0.500 0.000
0.500 0.000 0.000
0.500 0.500 0.500
0.250 0.250 0.750
0.250 0.750 0.250
0.750 0.250 0.250
0.750 0.750 0.750
0.250 0.250 0.250
0.250 0.750 0.750
0.750 0.250 0.750
0.750 0.750 0.250
```

Properties
Calculated volume = 21.31 Å³ per atom

=====

Which of them is most stable? Easy: A.

=====

A:
Entry from Alexandria via LeMat-Bulk: a relaxed structure of VIr2Au (PBE-GGA).

```
VIr2Au
1.0
7.037 0.000 0.000
0.000 7.037 0.000
0.000 0.000 5.356
V Ir Au
4 8 4
Direct
0.000 0.000 0.000
0.000 0.500 0.250
0.500 0.000 0.750
0.500 0.500 0.500
0.204 0.250 0.125
0.250 0.704 0.375
0.250 0.796 0.875
0.296 0.250 0.625
0.704 0.750 0.625
0.750 0.204 0.875
0.750 0.296 0.375
0.796 0.750 0.125
0.000 0.000 0.500
0.000 0.500 0.750
0.500 0.000 0.250
0.500 0.500 0.000
```

Properties
Calculated volume = 16.57 Å³ per atom

=====

B:
Entry from Alexandria via LeMat-Bulk: a relaxed structure of VIr2Au (PBE-GGA).

```
VIr2Au
1.0
6.245 0.000 0.000
0.000 6.245 0.000
0.000 0.000 6.245
V Ir Au
4 8 4
Direct
0.000 0.000 0.000
0.000 0.500 0.500
0.500 0.000 0.500
0.500 0.500 0.000
0.250 0.250 0.250
0.250 0.250 0.750
0.250 0.750 0.250
0.250 0.750 0.750
0.750 0.250 0.250
0.750 0.250 0.750
0.750 0.750 0.250
0.750 0.750 0.750
0.000 0.000 0.500
0.000 0.500 0.000
0.500 0.000 0.000
0.500 0.500 0.500
```

Properties
Calculated volume = 15.22 Å³ per atom

=====

Which of them is most stable? Easy: B.

=====

A:
Entry from Alexandria via LeMat-Bulk: a relaxed structure of VIr2Au2 (PBE-GGA).

```
VIr2Au2
1.0
6.327 0.000 0.000
0.000 6.327 0.000
0.000 0.000 4.261
V Ir Au
2 4 4
Direct
0.000 0.000 0.000
0.500 0.500 0.000
0.139 0.361 0.000
0.361 0.861 0.000
0.639 0.139 0.000
0.861 0.639 0.000
0.169 0.669 0.500
0.331 0.169 0.500
0.669 0.831 0.500
0.831 0.331 0.500
```

Properties
Calculated volume = 17.05 Å³ per atom

=====

B:
Entry from Alexandria via LeMat-Bulk: a relaxed structure of VIr2Au2 (PBE-GGA).

```
VIr2Au2
1.0
3.695 0.000 0.000
0.000 3.695 0.000
0.000 0.000 13.203
V Ir Au
2 4 4
Direct
0.000 0.000 0.000
0.500 0.500 0.500
0.000 0.000 0.408
0.000 0.000 0.592
0.500 0.500 0.092
0.500 0.500 0.908
0.000 0.500 0.250
0.000 0.500 0.750
0.500 0.000 0.250
0.500 0.000 0.750
```

Properties
Calculated volume = 18.02 Å³ per atom

=====

Which of them is most stable? Easy: A.

=====

A:
Entry from Alexandria via LeMat-Bulk: a relaxed structure of Ir2WAu (PBE-GGA).

```
Ir2WAu
1.0
7.182 0.000 0.000
0.000 7.182 0.000
0.000 0.000 5.509
Ir W Au
8 4 4
Direct
0.213 0.750 0.125
0.250 0.213 0.875
0.250 0.287 0.375
0.287 0.750 0.625
0.713 0.250 0.625
0.750 0.713 0.375
0.750 0.787 0.875
0.787 0.250 0.125
0.000 0.000 0.000
0.000 0.500 0.250
0.500 0.000 0.750
0.500 0.500 0.500
0.000 0.000 0.500
0.000 0.500 0.750
0.500 0.000 0.250
0.500 0.500 0.000
```

Properties
Calculated volume = 17.76 Å³ per atom

=====

B:
Entry from Alexandria via LeMat-Bulk: a relaxed structure of Ir2WAu (PBE-GGA).

```
Ir2WAu
1.0
2.813 0.000 0.000
-1.407 2.436 0.000
0.000 0.000 27.759
Ir W Au
6 3 3
Direct
0.000 0.000 0.244
0.000 0.000 0.756
0.333 0.667 0.423
0.333 0.667 0.911
0.667 0.333 0.089
0.667 0.333 0.577
0.000 0.000 0.500
0.333 0.667 0.167
0.667 0.333 0.833
0.000 0.000 0.000
0.333 0.667 0.667
0.667 0.333 0.333
```

Properties
Calculated volume = 15.85 Å³ per atom

=====

Which of them is most stable? Easy: B.

=====

A:
Entry from Alexandria via LeMat-Bulk: a relaxed structure of Ir2WAu (PBE-GGA).

```
Ir2WAu
1.0
2.776 0.000 0.000
0.000 2.776 0.000
0.000 0.000 8.119
Ir W Au
2 1 1
Direct
0.000 0.000 0.000
0.500 0.500 0.236
0.000 0.000 0.476
0.500 0.500 0.736
```

Properties
Calculated volume = 15.64 Å³ per atom

=====

B:
Entry from Alexandria via LeMat-Bulk: a relaxed structure of Ir2WAu (PBE-GGA).

```
Ir2WAu
1.0
2.795 0.000 0.000
0.000 4.018 0.000
0.000 0.000 5.581
Ir W Au
2 1 1
Direct
0.000 0.000 0.000
0.500 0.500 0.253
0.000 0.000 0.467
0.500 0.500 0.743
```

Properties
Calculated volume = 15.67 Å³ per atom

=====

C:
Entry from Alexandria via LeMat-Bulk: a relaxed structure of Ir2WAu (PBE-GGA).

```
Ir2WAu
1.0
2.821 0.000 0.000
0.000 3.846 0.000
0.000 0.000 5.769
Ir W Au
2 1 1
Direct
0.000 0.000 0.236
0.000 0.000 0.764
0.500 0.500 0.000
0.500 0.500 0.500
```

Properties
Calculated volume = 15.64 Å³ per atom

=====

Which of them is most stable? Easy: C.

=====

A:
Entry from Alexandria via LeMat-Bulk: a relaxed structure of Ir2WAu (PBE-GGA).

```
Ir2WAu
1.0
4.010 0.000 0.000
0.000 4.010 0.000
0.000 0.000 7.717
Ir W Au
4 2 2
Direct
0.000 0.500 0.250
0.000 0.500 0.750
0.500 0.000 0.250
0.500 0.000 0.750
0.000 0.000 0.000
0.500 0.500 0.500
0.000 0.000 0.500
0.500 0.500 0.000
```

Properties
Calculated volume = 15.51 Å³ per atom

=====

B:
Entry from Alexandria via LeMat-Bulk: a relaxed structure of Ir2WAu (PBE-GGA).

```
Ir2WAu
1.0
9.396 0.000 0.000
0.000 2.809 0.000
-0.883 0.000 4.740
Ir W Au
4 2 2
Direct
0.000 0.000 0.000
0.239 0.500 0.261
0.500 0.500 0.000
0.739 0.000 0.261
0.485 0.000 0.478
0.985 0.500 0.478
0.243 0.000 0.755
0.743 0.500 0.755
```

Properties
Calculated volume = 15.64 Å³ per atom

=====

C:
Entry from Alexandria via LeMat-Bulk: a relaxed structure of Ir2WAu (PBE-GGA).

```
Ir2WAu
1.0
6.334 0.000 0.000
0.000 6.334 0.000
0.000 0.000 6.334
Ir W Au
8 4 4
Direct
0.000 0.000 0.000
0.000 0.500 0.500
0.250 0.250 0.250
0.250 0.750 0.750
0.500 0.000 0.500
0.500 0.500 0.000
0.750 0.250 0.750
0.750 0.750 0.250
0.250 0.250 0.750
0.250 0.750 0.250
0.750 0.250 0.250
0.750 0.750 0.750
0.000 0.000 0.500
0.000 0.500 0.000
0.500 0.000 0.000
0.500 0.500 0.500
```

Properties
Calculated volume = 15.88 Å³ per atom

=====

Which of them is most stable? Easy: A.

=====

A:
Entry from Alexandria via LeMat-Bulk: a relaxed structure of Ir2WAu (PBE-GGA).

```
Ir2WAu
1.0
2.832 0.000 0.000
0.000 2.832 0.000
0.000 0.000 7.894
Ir W Au
2 1 1
Direct
0.000 0.000 0.230
0.000 0.000 0.770
0.500 0.500 0.000
0.500 0.500 0.500
```

Properties
Calculated volume = 15.82 Å³ per atom

=====

B:
Entry from Alexandria via LeMat-Bulk: a relaxed structure of Ir2WAu (PBE-GGA).

```
Ir2WAu
1.0
4.046 0.000 0.000
0.000 4.046 0.000
0.000 0.000 3.814
Ir W Au
2 1 1
Direct
0.000 0.500 0.000
0.500 0.000 0.000
0.000 0.000 0.500
0.500 0.500 0.500
```

Properties
Calculated volume = 15.61 Å³ per atom

=====

Which of them is most stable? Easy: A.